# 1
Computed, not measured: crystalline Tl10HgTe5 at its relaxed geometry at the PBE-GGA level of DFT.

Cell: 6.6642 9.7246 9.7246 Å, 83.26 69.96 69.96°
Element x y z (fractional)
1 Te 0.0904 0.5000 0.8192
2 Te 0.5904 0.8192 0.5000
3 Te 0.4096 0.5000 0.1808
4 Te 0.9096 0.1808 0.5000
5 Te 0.5000 0.0000 0.0000
6 Tl 0.8281 0.6991 0.1340
7 Tl 0.3388 0.1340 0.6991
8 Tl 0.0000 0.5000 0.5000
9 Tl 0.5000 0.5000 0.5000
10 Tl 0.5272 0.1340 0.3009
11 Tl 0.1719 0.8660 0.3009
12 Tl 0.9621 0.8660 0.6991
13 Tl 0.4728 0.6991 0.8660
14 Tl 0.0379 0.3009 0.1340
15 Tl 0.6612 0.3009 0.8660
16 Hg 0.0000 0.0000 0.0000

Results
* ΔE_f (raw): -215 meV/atom
* space-group type: No. 97
* raw total energy: -2.6943 eV/atom

---

# 2
Computed, not measured: crystalline Tl2HgTe at its relaxed geometry at the PBE-GGA level of DFT.

Cell: 7.2262 7.2262 7.2262 Å, 144.01 51.90 143.90°
Element x y z (fractional)
1 Te 0.0000 0.0000 0.0000
2 Hg 0.5000 0.0000 0.5000
3 Tl 0.2439 0.0000 0.2439
4 Tl 0.7561 0.0000 0.7561

Results
* ΔE_f (raw): -23 meV/atom
* space-group type: No. 71
* offset from the most stable computed form: 191 meV per atom
* raw total energy: -2.0669 eV/atom

---

# 3
Computed, not measured: crystalline TlHgTe at its relaxed geometry at the PBE-GGA level of DFT.

Cell: 5.7818 4.6183 4.6182 Å, 90.20 89.85 89.94°
Element x y z (fractional)
1 Te 0.9845 0.3056 0.0848
2 Hg 0.4941 0.3054 0.0849
3 Tl 0.1701 0.8059 0.5847

Results
* ΔE_f (raw): -95 meV/atom
* space-group type: No. 8
* offset from the most stable computed form: 88 meV per atom
* raw total energy: -2.0317 eV/atom

---

# 4
Computed, not measured: crystalline TlHgTe2 at its relaxed geometry at the PBE-GGA level of DFT.

Cell: 4.3416 4.3416 8.2048 Å, 73.88 73.88 59.83°
Element x y z (fractional)
1 Te 0.0748 0.0748 0.7783
2 Te 0.2570 0.2570 0.2249
3 Tl 0.5004 0.5004 0.5006
4 Hg 0.6678 0.6678 0.9962

Results
* ΔE_f (raw): -58 meV/atom
* space-group type: No. 8
* raw total energy: -2.2958 eV/atom

---

# 5
Computed, not measured: crystalline TlHg2Te at its relaxed geometry at the PBE-GGA level of DFT.

Cell: 6.8312 6.8312 3.3055 Å, 76.80 76.80 119.13°
Element x y z (fractional)
1 Tl 0.0000 0.5000 0.5000
2 Hg 0.0000 0.0000 0.0000
3 Hg 0.5000 0.5000 0.0000
4 Te 0.5000 0.0000 0.5000

Results
* ΔE_f (raw): -12 meV/atom
* space-group type: No. 12
* offset from the most stable computed form: 51 meV per atom
* raw total energy: -1.5397 eV/atom

---

# 6
Computed, not measured: crystalline TlHgTe2 at its relaxed geometry at the PBE-GGA level of DFT.

Cell: 5.5139 5.5139 5.5139 Å, 119.40 119.40 91.04°
Element x y z (fractional)
1 Tl 0.5000 0.5000 0.0000
2 Te 0.0000 0.0000 0.0000
3 Te 0.2500 0.7500 0.5000
4 Hg 0.7500 0.2500 0.5000

Results
* ΔE_f (raw): 80 meV/atom
* space-group type: No. 119
* raw total energy: -2.1577 eV/atom

---

# 7
Computed, not measured: crystalline TlHg2Te at its relaxed geometry at the PBE-GGA level of DFT.

Cell: 5.5080 3.2784 6.5891 Å, 88.97 90.00 90.00°
Element x y z (fractional)
1 Hg 0.0000 0.2016 0.9903
2 Hg 0.0000 0.2984 0.5097
3 Tl 0.5000 0.7500 0.7500
4 Te 0.5000 0.2500 0.2500

Results
* ΔE_f (raw): -43 meV/atom
* space-group type: No. 10
* offset from the most stable computed form: 20 meV per atom
* raw total energy: -1.5708 eV/atom

---

# 8
Computed, not measured: crystalline Tl6Hg12Te at its relaxed geometry at the PBE-GGA level of DFT.

Cell: 8.7315 8.7315 8.7315 Å, 88.37 88.37 88.37°
Element x y z (fractional)
1 Hg 0.8716 0.5000 0.1284
2 Hg 0.1046 0.3828 0.3828
3 Hg 0.8954 0.6172 0.6172
4 Hg 0.1284 0.5000 0.8716
5 Hg 0.8716 0.1284 0.5000
6 Hg 0.6172 0.8954 0.6172
7 Hg 0.3828 0.3828 0.1046
8 Hg 0.5000 0.1284 0.8716
9 Hg 0.3828 0.1046 0.3828
10 Hg 0.1284 0.8716 0.5000
11 Hg 0.5000 0.8716 0.1284
12 Hg 0.6172 0.6172 0.8954
13 Te 0.0000 0.0000 0.0000
14 Tl 0.8106 0.2898 0.8106
15 Tl 0.7102 0.1894 0.1894
16 Tl 0.1894 0.7102 0.1894
17 Tl 0.8106 0.8106 0.2898
18 Tl 0.1894 0.1894 0.7102
19 Tl 0.2898 0.8106 0.8106

Results
* ΔE_f (raw): 15 meV/atom
* space-group type: No. 166
* offset from the most stable computed form: 43 meV per atom
* raw total energy: -1.0878 eV/atom

---

# 9
Computed, not measured: crystalline TlHg2Te at its relaxed geometry at the PBE-GGA level of DFT.

Cell: 3.2911 5.0392 7.1706 Å, 90.00 90.00 90.00°
Element x y z (fractional)
1 Hg 0.0000 0.0000 0.0039
2 Hg 0.0000 0.0000 0.4961
3 Tl 0.5000 0.5000 0.7500
4 Te 0.5000 0.5000 0.2500

Results
* ΔE_f (raw): 8 meV/atom
* space-group type: No. 47
* offset from the most stable computed form: 71 meV per atom
* raw total energy: -1.5203 eV/atom

---

# 10
Computed, not measured: crystalline TlHg4Te at its relaxed geometry at the PBE-GGA level of DFT.

Cell: 6.3174 6.3174 6.3174 Å, 60.00 60.00 60.00°
Element x y z (fractional)
1 Te 0.7500 0.7500 0.7500
2 Tl 0.0000 0.0000 0.0000
3 Hg 0.3753 0.3753 0.8741
4 Hg 0.8741 0.3753 0.3753
5 Hg 0.3753 0.8741 0.3753
6 Hg 0.3753 0.3753 0.3753

Results
* ΔE_f (raw): 74 meV/atom
* space-group type: No. 216
* raw total energy: -1.0448 eV/atom

---

# 11
Computed, not measured: crystalline TlHgTe at its relaxed geometry at the PBE-GGA level of DFT.

Cell: 4.6117 6.6686 7.2916 Å, 97.53 108.46 110.25°
Element x y z (fractional)
1 Tl 0.5695 0.2531 0.1179
2 Tl 0.0108 0.8100 0.4434
3 Te 0.3209 0.3662 0.5068
4 Te 0.2595 0.6972 0.0545
5 Hg 0.8657 0.2353 0.7276
6 Hg 0.7147 0.8281 0.8338

Results
* ΔE_f (raw): -184 meV/atom
* space-group type: No. 12
* offset from the most stable computed form: 0 meV per atom
* raw total energy: -2.1201 eV/atom

---

# 12
Computed, not measured: crystalline Tl14Hg2Te9 at its relaxed geometry at the PBE-GGA level of DFT.

Cell: 10.3015 10.3014 9.8627 Å, 90.00 90.00 120.00°
Element x y z (fractional)
1 Tl 0.3286 0.3393 0.9817
2 Tl 0.0107 0.6714 0.9817
3 Tl 0.5862 0.6573 0.6606
4 Tl 0.6573 0.0711 0.3394
5 Tl 0.3427 0.9289 0.6606
6 Tl 0.0711 0.4138 0.6606
7 Tl 0.3393 0.0107 0.0183
8 Tl 0.0000 0.0000 0.6790
9 Tl 0.6714 0.6607 0.0183
10 Tl 0.9289 0.5862 0.3394
11 Tl 0.4138 0.3427 0.3394
12 Tl 0.0000 0.0000 0.3210
13 Tl 0.9893 0.3286 0.0183
14 Tl 0.6607 0.9893 0.9817
15 Te 0.6667 0.3333 0.0725
16 Te 0.3745 0.2807 0.6727
17 Te 0.3333 0.6667 0.9275
18 Te 0.0938 0.3745 0.3273
19 Te 0.7193 0.0938 0.6727
20 Te 0.0000 0.0000 0.0000
21 Te 0.6255 0.7193 0.3273
22 Te 0.2807 0.9062 0.3273
23 Te 0.9062 0.6255 0.6727
24 Hg 0.6667 0.3333 0.7695
25 Hg 0.3333 0.6667 0.2305

Results
* ΔE_f (raw): -251 meV/atom
* space-group type: No. 147
* raw total energy: -2.7312 eV/atom

---

# 13
Computed, not measured: crystalline Tl4HgTe3 at its relaxed geometry at the PBE-GGA level of DFT.

Cell: 9.4970 9.3025 9.0648 Å, 119.10 90.00 120.69°
Element x y z (fractional)
1 Hg 0.4307 0.0189 0.3554
2 Hg 0.5882 0.0189 0.8554
3 Tl 0.0275 0.4541 0.0052
4 Tl 0.6067 0.7486 0.0198
5 Tl 0.7270 0.6058 0.2801
6 Tl 0.4266 0.4541 0.5052
7 Tl 0.8788 0.6058 0.7801
8 Tl 0.1419 0.7486 0.5198
9 Tl 0.9181 0.1527 0.5053
10 Tl 0.2347 0.1527 0.0053
11 Te 0.8402 0.9313 0.7438
12 Te 0.3767 0.6380 0.2804
13 Te 0.5147 0.2303 0.7598
14 Te 0.7156 0.2303 0.2598
15 Te 0.2613 0.6380 0.7804
16 Te 0.0911 0.9313 0.2438

Results
* ΔE_f (raw): -242 meV/atom
* space-group type: No. 9
* raw total energy: -2.6407 eV/atom

---

# 14
Computed, not measured: crystalline TlHgTe3 at its relaxed geometry at the PBE-GGA level of DFT.

Cell: 5.6901 5.6901 5.6901 Å, 90.00 90.00 90.00°
Element x y z (fractional)
1 Te 0.5000 0.0000 0.0000
2 Te 0.0000 0.0000 0.5000
3 Te 0.0000 0.5000 0.0000
4 Tl 0.5000 0.5000 0.5000
5 Hg 0.0000 0.0000 0.0000

Results
* ΔE_f (raw): 286 meV/atom
* space-group type: No. 221
* offset from the most stable computed form: 218 meV per atom
* raw total energy: -2.1327 eV/atom

---

# 15
Computed, not measured: crystalline TlHg2Te at its relaxed geometry at the PBE-GGA level of DFT.

Cell: 6.5720 6.5720 6.0574 Å, 70.97 70.97 29.27°
Element x y z (fractional)
1 Te 0.4928 0.4928 0.5639
2 Tl 0.7433 0.7433 0.6903
3 Hg 0.2575 0.2575 0.1823
4 Hg 0.0064 0.0064 0.0635

Results
* ΔE_f (raw): -17 meV/atom
* space-group type: No. 8
* offset from the most stable computed form: 46 meV per atom
* raw total energy: -1.5453 eV/atom

---

# 16
Computed, not measured: crystalline Tl3HgTe at its relaxed geometry at the PBE-GGA level of DFT.

Cell: 8.0079 8.0079 12.8411 Å, 77.10 77.10 61.75°
Element x y z (fractional)
1 Tl 0.1669 0.3927 0.8950
2 Tl 0.7763 0.1944 0.0047
3 Tl 0.7865 0.9642 0.7696
4 Tl 0.8056 0.2237 0.4953
5 Tl 0.8331 0.6073 0.1050
6 Tl 0.2135 0.0358 0.2304
7 Tl 0.9642 0.7865 0.2696
8 Tl 0.0358 0.2135 0.7304
9 Tl 0.2237 0.8056 0.9953
10 Tl 0.1944 0.7763 0.5047
11 Tl 0.3927 0.1669 0.3950
12 Tl 0.6073 0.8331 0.6050
13 Te 0.2759 0.7241 0.7500
14 Te 0.5000 0.0000 0.0000
15 Te 0.0000 0.5000 0.5000
16 Te 0.7241 0.2759 0.2500
17 Hg 0.6826 0.6004 0.8588
18 Hg 0.6004 0.6826 0.3588
19 Hg 0.3996 0.3174 0.6412
20 Hg 0.3174 0.3996 0.1412

Results
* ΔE_f (raw): -97 meV/atom
* space-group type: No. 15
* offset from the most stable computed form: 41 meV per atom
* raw total energy: -2.2057 eV/atom

---

# 17
Computed, not measured: crystalline Tl2HgTe at its relaxed geometry at the PBE-GGA level of DFT.

Cell: 6.2054 6.2054 3.3344 Å, 89.90 89.90 99.75°
Element x y z (fractional)
1 Te 0.0000 0.5000 0.5000
2 Tl 0.5000 0.5000 0.0000
3 Tl 0.0000 0.0000 0.0000
4 Hg 0.5000 0.0000 0.5000

Results
* ΔE_f (raw): -114 meV/atom
* space-group type: No. 12
* offset from the most stable computed form: 99 meV per atom
* raw total energy: -2.1583 eV/atom

---

# 18
Computed, not measured: crystalline Tl2HgTe at its relaxed geometry at the PBE-GGA level of DFT.

Cell: 6.5592 6.5592 4.7156 Å, 91.43 91.43 42.06°
Element x y z (fractional)
1 Tl 0.7313 0.7313 0.6213
2 Tl 0.0084 0.0084 0.1283
3 Hg 0.4710 0.4710 0.6292
4 Te 0.2893 0.2893 0.1212

Results
* ΔE_f (raw): -163 meV/atom
* space-group type: No. 8
* offset from the most stable computed form: 51 meV per atom
* raw total energy: -2.2070 eV/atom

---

# 19
Computed, not measured: crystalline TlHgTe2 at its relaxed geometry at the PBE-GGA level of DFT.

Cell: 6.1764 3.2674 6.1793 Å, 89.79 90.00 90.00°
Element x y z (fractional)
1 Hg 0.5000 0.9997 0.8743
2 Te 0.0000 0.8761 0.8754
3 Te 0.5000 0.1237 0.3742
4 Tl 0.0000 0.5005 0.3760

Results
* ΔE_f (raw): -69 meV/atom
* space-group type: No. 6
* raw total energy: -2.3067 eV/atom

---

# 20
Computed, not measured: crystalline Tl8HgTe2 at its relaxed geometry at the PBE-GGA level of DFT.

Cell: 4.5964 8.6869 9.9644 Å, 109.99 103.33 90.00°
Element x y z (fractional)
1 Tl 0.6797 0.9203 0.3594
2 Tl 0.5855 0.4511 0.1709
3 Tl 0.8421 0.7676 0.6841
4 Tl 0.1579 0.2324 0.3159
5 Tl 0.9521 0.2569 0.9042
6 Tl 0.4145 0.5489 0.8291
7 Tl 0.0479 0.7431 0.0958
8 Tl 0.3203 0.0797 0.6406
9 Te 0.2063 0.6524 0.4126
10 Te 0.7937 0.3476 0.5874
11 Hg 0.5000 0.0000 0.0000

Results
* ΔE_f (raw): -102 meV/atom
* space-group type: No. 12
* raw total energy: -2.4221 eV/atom

---

Number 1: volume 34.76 A^3/atom. Number 2: volume 32.48 A^3/atom. Number 3: volume 41.11 A^3/atom. Number 4: volume 31.67 A^3/atom. Number 5: volume 30.07 A^3/atom. Number 6: volume 29.90 A^3/atom. Number 7: volume 29.74 A^3/atom. Number 8: volume 34.99 A^3/atom. Number 9: volume 29.73 A^3/atom. Number 10: volume 29.71 A^3/atom. Number 11: volume 32.02 A^3/atom. Number 12: volume 36.26 A^3/atom. Number 13: volume 35.49 A^3/atom. Number 14: volume 36.85 A^3/atom. Number 15: volume 30.11 A^3/atom. Number 16: volume 35.02 A^3/atom. Number 17: volume 31.63 A^3/atom. Number 18: volume 33.97 A^3/atom. Number 19: volume 31.18 A^3/atom. Number 20: volume 32.95 A^3/atom.